A geometry-optimized Hg2BiTe2 structure. Source: the Alexandria database, functional PBE-GGA.

Excess energy over the best structure of this formula in the dataset = 0.0 meV/atom
Uncorrected formation energy = 0.0262 eV/atom
Magnetization = 0.00 μB per formula unit

a = 8.913 Å, b = 8.913 Å, c = 4.269 Å
α = 90.00°, β = 90.00°, γ = 90.00°
Fractional positions:
Hg: 0.107 0.393 0.000
Hg: 0.393 0.893 0.000
Hg: 0.607 0.107 0.000
Hg: 0.893 0.607 0.000
Bi: 0.000 0.000 0.500
Bi: 0.500 0.500 0.500
Te: 0.236 0.736 0.500
Te: 0.264 0.236 0.500
Te: 0.736 0.764 0.500
Te: 0.764 0.264 0.500

A geometry-optimized V2MoHIr structure. Source: the Alexandria database, functional PBE-GGA.

Excess energy over the best structure of this formula in the dataset = 21.8 meV/atom
Magnetization = 0.00 μB per formula unit

a = 4.113 Å, b = 4.113 Å, c = 3.541 Å
α = 90.00°, β = 90.00°, γ = 90.00°
Fractional positions:
V: 0.000 0.500 0.000
V: 0.500 0.000 0.000
Mo: 0.000 0.000 0.500
H: 0.500 0.500 0.000
Ir: 0.500 0.500 0.500

A geometry-optimized La5Nd3Te8 structure. Source: the Alexandria database, functional PBE-GGA.

Uncorrected formation energy = -1.5308 eV/atom
Magnetization = 0.00 μB per formula unit

a = 9.099 Å, b = 9.099 Å, c = 9.099 Å
α = 60.06°, β = 60.06°, γ = 60.06°
Fractional positions:
La: 0.000 0.000 0.000
La: 0.000 0.500 0.500
La: 0.500 0.000 0.500
La: 0.500 0.500 0.000
La: 0.500 0.500 0.500
Nd: 0.000 0.000 0.500
Nd: 0.000 0.500 0.000
Nd: 0.500 0.000 0.000
Te: 0.247 0.750 0.750
Te: 0.248 0.248 0.248
Te: 0.250 0.250 0.753
Te: 0.250 0.753 0.250
Te: 0.750 0.247 0.750
Te: 0.750 0.750 0.247
Te: 0.752 0.752 0.752
Te: 0.753 0.250 0.250

A geometry-optimized Tc2TeCl structure. Source: the Alexandria database, functional PBE-GGA.

Excess energy over the best structure of this formula in the dataset = 653.8 meV/atom
Uncorrected formation energy = 0.6221 eV/atom
Magnetization = 0.00 μB per formula unit

a = 6.424 Å, b = 6.424 Å, c = 6.424 Å
α = 90.00°, β = 90.00°, γ = 90.00°
Fractional positions:
Tc: 0.250 0.250 0.250
Tc: 0.250 0.250 0.750
Tc: 0.250 0.750 0.250
Tc: 0.250 0.750 0.750
Tc: 0.750 0.250 0.250
Tc: 0.750 0.250 0.750
Tc: 0.750 0.750 0.250
Tc: 0.750 0.750 0.750
Te: 0.000 0.000 0.000
Te: 0.000 0.500 0.500
Te: 0.500 0.000 0.500
Te: 0.500 0.500 0.000
Cl: 0.000 0.000 0.500
Cl: 0.000 0.500 0.000
Cl: 0.500 0.000 0.000
Cl: 0.500 0.500 0.500

A geometry-optimized LuPu2Th structure. Source: the Alexandria database, functional PBE-GGA.

Excess energy over the best structure of this formula in the dataset = 0.0 meV/atom
Magnetization = 11.95 μB per formula unit
DFT formation energy = 148 meV/atom

a = 4.856 Å, b = 4.856 Å, c = 4.811 Å
α = 90.00°, β = 90.00°, γ = 90.00°
Fractional positions:
Lu: 0.000 0.000 0.000
Pu: 0.000 0.500 0.500
Pu: 0.500 0.000 0.500
Th: 0.500 0.500 0.000

A geometry-optimized AcHgO structure. Source: the Alexandria database, functional PBE-GGA.

Excess energy over the best structure of this formula in the dataset = 0.0 meV/atom
Uncorrected formation energy = -2.0785 eV/atom
Magnetization = 0.00 μB per formula unit

a = 4.257 Å, b = 4.257 Å, c = 8.317 Å
α = 90.00°, β = 90.00°, γ = 90.00°
Fractional positions:
Ac: 0.250 0.250 0.152
Ac: 0.750 0.750 0.848
Hg: 0.250 0.250 0.588
Hg: 0.750 0.750 0.412
O: 0.250 0.750 0.000
O: 0.750 0.250 0.000

A geometry-optimized Sr3RuO6 structure. Source: the Alexandria database, functional PBE-GGA.

Uncorrected formation energy = -2.0948 eV/atom
Magnetization = 0.12 μB per formula unit

a = 6.881 Å, b = 6.881 Å, c = 6.881 Å
α = 92.05°, β = 92.05°, γ = 92.05°
Fractional positions:
Sr: 0.066 0.756 0.570
Sr: 0.244 0.430 0.934
Sr: 0.430 0.934 0.244
Sr: 0.570 0.066 0.756
Sr: 0.756 0.570 0.066
Sr: 0.934 0.244 0.430
Ru: 0.000 0.000 0.000
Ru: 0.500 0.500 0.500
O: 0.048 0.728 0.928
O: 0.072 0.952 0.272
O: 0.229 0.432 0.557
O: 0.272 0.072 0.952
O: 0.432 0.557 0.229
O: 0.443 0.771 0.568
O: 0.557 0.229 0.432
O: 0.568 0.443 0.771
O: 0.728 0.928 0.048
O: 0.771 0.568 0.443
O: 0.928 0.048 0.728
O: 0.952 0.272 0.072

A geometry-optimized TmNpP2 structure. Source: the Alexandria database, functional PBE-GGA.

Excess energy over the best structure of this formula in the dataset = 2.2 meV/atom
Magnetization = 3.67 μB per formula unit
DFT formation energy = -1233 meV/atom

a = 3.950 Å, b = 3.950 Å, c = 19.322 Å
α = 90.00°, β = 90.00°, γ = 120.00°
Fractional positions:
Tm: 0.000 0.000 0.000
Tm: 0.333 0.667 0.667
Tm: 0.667 0.333 0.333
Np: 0.000 0.000 0.500
Np: 0.333 0.667 0.167
Np: 0.667 0.333 0.833
P: 0.000 0.000 0.249
P: 0.000 0.000 0.751
P: 0.333 0.667 0.417
P: 0.333 0.667 0.916
P: 0.667 0.333 0.084
P: 0.667 0.333 0.583

A geometry-optimized Nd2SmCu2 structure. Source: the Alexandria database, functional PBE-GGA.

Excess energy over the best structure of this formula in the dataset = 46.9 meV/atom
Magnetization = 0.00 μB per formula unit
DFT formation energy = -40 meV/atom

a = 5.109 Å, b = 4.724 Å, c = 11.230 Å
α = 90.00°, β = 101.09°, γ = 90.00°
Fractional positions:
Nd: 0.161 0.250 0.117
Nd: 0.264 0.750 0.514
Nd: 0.736 0.250 0.486
Nd: 0.839 0.750 0.883
Sm: 0.292 0.250 0.760
Sm: 0.708 0.750 0.240
Cu: 0.177 0.250 0.362
Cu: 0.389 0.750 0.993
Cu: 0.611 0.250 0.007
Cu: 0.823 0.750 0.638

A geometry-optimized Tb12Si6C structure. Source: the Alexandria database, functional PBE-GGA.

Uncorrected formation energy = -0.4338 eV/atom
Magnetization = 0.00 μB per formula unit

a = 8.135 Å, b = 8.135 Å, c = 8.135 Å
α = 98.65°, β = 98.65°, γ = 98.65°
Fractional positions:
Tb: 0.036 0.933 0.693
Tb: 0.067 0.307 0.964
Tb: 0.186 0.567 0.430
Tb: 0.307 0.964 0.067
Tb: 0.430 0.186 0.567
Tb: 0.433 0.570 0.814
Tb: 0.567 0.430 0.186
Tb: 0.570 0.814 0.433
Tb: 0.693 0.036 0.933
Tb: 0.814 0.433 0.570
Tb: 0.933 0.693 0.036
Tb: 0.964 0.067 0.307
Si: 0.126 0.293 0.617
Si: 0.293 0.617 0.126
Si: 0.383 0.874 0.707
Si: 0.617 0.126 0.293
Si: 0.707 0.383 0.874
Si: 0.874 0.707 0.383
C: 0.000 0.000 0.000

A geometry-optimized Li3InAu12 structure. Source: the Alexandria database, functional PBE-GGA.

Magnetization = 0.00 μB per formula unit
DFT formation energy = -290 meV/atom

a = 4.104 Å, b = 4.104 Å, c = 16.536 Å
α = 90.00°, β = 90.00°, γ = 90.00°
Fractional positions:
Li: 0.000 0.000 0.000
Li: 0.000 0.000 0.243
Li: 0.000 0.000 0.757
In: 0.000 0.000 0.500
Au: 0.000 0.500 0.121
Au: 0.000 0.500 0.365
Au: 0.000 0.500 0.635
Au: 0.000 0.500 0.879
Au: 0.500 0.000 0.121
Au: 0.500 0.000 0.365
Au: 0.500 0.000 0.635
Au: 0.500 0.000 0.879
Au: 0.500 0.500 0.000
Au: 0.500 0.500 0.243
Au: 0.500 0.500 0.500
Au: 0.500 0.500 0.757

A geometry-optimized BaInMo2S structure. Source: the Alexandria database, functional PBE-GGA.

Uncorrected formation energy = 0.5715 eV/atom
Magnetization = 0.00 μB per formula unit

a = 4.610 Å, b = 4.610 Å, c = 5.835 Å
α = 90.00°, β = 90.00°, γ = 90.00°
Fractional positions:
Ba: 0.000 0.000 0.000
In: 0.500 0.500 0.000
Mo: 0.000 0.500 0.500
Mo: 0.500 0.000 0.500
S: 0.500 0.500 0.500

A geometry-optimized PmEuLuAl structure. Source: the Alexandria database, functional PBE-GGA.

Magnetization = 7.40 μB per formula unit
DFT formation energy = -15 meV/atom

a = 7.658 Å, b = 7.658 Å, c = 7.658 Å
α = 90.00°, β = 90.00°, γ = 90.00°
Fractional positions:
Pm: 0.000 0.000 0.000
Pm: 0.000 0.500 0.500
Pm: 0.500 0.000 0.500
Pm: 0.500 0.500 0.000
Eu: 0.250 0.250 0.750
Eu: 0.250 0.750 0.250
Eu: 0.750 0.250 0.250
Eu: 0.750 0.750 0.750
Lu: 0.000 0.000 0.500
Lu: 0.000 0.500 0.000
Lu: 0.500 0.000 0.000
Lu: 0.500 0.500 0.500
Al: 0.250 0.250 0.250
Al: 0.250 0.750 0.750
Al: 0.750 0.250 0.750
Al: 0.750 0.750 0.250

A geometry-optimized Cs2RbAsPd structure. Source: the Alexandria database, functional PBE-GGA.

Excess energy over the best structure of this formula in the dataset = 15.2 meV/atom
Magnetization = 0.00 μB per formula unit
DFT formation energy = -105 meV/atom

a = 7.313 Å, b = 7.313 Å, c = 4.738 Å
α = 90.00°, β = 90.00°, γ = 90.00°
Fractional positions:
Cs: 0.000 0.500 0.000
Cs: 0.500 0.000 0.000
Rb: 0.000 0.000 0.500
As: 0.500 0.500 0.000
Pd: 0.500 0.500 0.500